# 1
The following is a DFT calculation (GGA-PBE) of a geometry-optimized AcLa6Dy12 structure.

a = 10.165 Å, b = 10.165 Å, c = 10.165 Å
α = 113.35°, β = 113.35°, γ = 113.35°
Sites, in units of the cell vectors:
Ac 0.000 0.000 0.000
La 0.310 0.310 0.591
La 0.310 0.591 0.310
La 0.409 0.690 0.690
La 0.591 0.310 0.310
La 0.690 0.409 0.690
La 0.690 0.690 0.409
Dy 0.110 0.758 0.758
Dy 0.117 0.500 0.883
Dy 0.117 0.883 0.500
Dy 0.242 0.242 0.890
Dy 0.242 0.890 0.242
Dy 0.500 0.117 0.883
Dy 0.500 0.883 0.117
Dy 0.758 0.110 0.758
Dy 0.758 0.758 0.110
Dy 0.883 0.117 0.500
Dy 0.883 0.500 0.117
Dy 0.890 0.242 0.242

Output
VASP energy: -4.382 eV per atom
Symmetry: R-3m

---

# 2
The following is a DFT calculation (GGA-PBE) of a geometry-optimized Ac5La6Dy structure.

a = 10.123 Å, b = 10.123 Å, c = 10.123 Å
α = 148.83°, β = 115.65°, γ = 73.23°
Sites, in units of the cell vectors:
Ac 0.000 0.000 0.000
Ac 0.167 0.667 0.500
Ac 0.338 0.338 0.000
Ac 0.662 0.662 0.000
Ac 0.833 0.333 0.500
La 0.088 0.835 0.253
La 0.254 0.500 0.754
La 0.418 0.165 0.253
La 0.582 0.835 0.747
La 0.746 0.500 0.246
La 0.912 0.165 0.747
Dy 0.500 0.000 0.500

Output
VASP energy: -4.529 eV per atom
Symmetry: Immm

---

# 3
The following is a DFT calculation (GGA-PBE) of a geometry-optimized Ac2La5Dy2 structure.

a = 6.490 Å, b = 6.514 Å, c = 8.369 Å
α = 82.75°, β = 75.37°, γ = 80.48°
Sites, in units of the cell vectors:
Ac 0.223 0.442 0.117
Ac 0.777 0.558 0.883
La 0.000 0.000 0.000
La 0.113 0.217 0.556
La 0.448 0.889 0.228
La 0.552 0.111 0.772
La 0.887 0.783 0.444
Dy 0.334 0.664 0.660
Dy 0.666 0.336 0.340

Output
VASP energy: -4.642 eV per atom
Symmetry: P-1